YNb2CoF | PBE with a Hubbard U | optimized geometry

It has space group P4/mmm (No. 123), with a = 5.137 Å, b = 5.137 Å, c = 4.309 Å, α = 90.00°, β = 90.00° and γ = 90.00°. The asymmetric unit holds Y at (0.000, 0.000, 0.000), Nb at (0.000, 0.500, 0.000), Co at (0.000, 0.000, 0.500) and F at (0.500, 0.500, 0.500).

As for the total energy: -4.586 eV/atom.